Computed, not measured: crystalline Ac2TlCo2O6 at its relaxed geometry at the GGA+U level of DFT.

Volume (Å³/cell): 214
Space group: R-3m (166)
E (eV/atom): -6.245

Lattice parameters (Å, degrees): 7.7532 7.7532 7.7532 45.27 45.27 45.27
Closest atoms and distances in Å follow each position.
Positions (direct):
Ac 0.1947 0.1947 0.1947  3 O 2.43
Ac 0.8053 0.8053 0.8053  3 O 2.43
Tl 0.0000 0.0000 0.0000  6 O 2.80
Co 0.4333 0.4333 0.4333  3 O 1.81
Co 0.5667 0.5667 0.5667  3 O 1.81
O 0.2097 0.7318 0.7318  1 Co 1.81
O 0.2682 0.2682 0.7903  1 Co 1.81
O 0.2682 0.7903 0.2682  1 Co 1.81
O 0.7318 0.2097 0.7318  1 Co 1.81
O 0.7318 0.7318 0.2097  1 Co 1.81
O 0.7903 0.2682 0.2682  1 Co 1.81